VASP calculation (PBE) on a relaxed structure of KBa2LaPt.

Unit cell a=6.5672 b=6.5672 c=5.6522 alpha=90.00 beta=90.00 gamma=90.00
With the nearest neighbours (Å) after each atom.
Space group P4/mmm (No. 123)
Asymmetric unit:
1 K 0.0000 0.0000 0.0000 [1 per cell]  8 Ba 4.33, 4 La 4.64
2 Ba 0.0000 0.5000 0.5000 [2 per cell]  2 Pt 3.28
3 La 0.5000 0.5000 0.0000 [1 per cell]  2 Pt 2.83
4 Pt 0.5000 0.5000 0.5000 [1 per cell]  2 La 2.83

## Properties
Energy of formation from the pure elements   -0.33 eV per atom
Volume   48.754 Å³/atom
DOS at the Fermi energy   4.68 states/eV/f.u.

VASP calculation (PBE) on a relaxed structure of PrHo2Bi.

Unit cell a=4.0584 b=4.0584 c=28.9535 alpha=90.00 beta=90.00 gamma=120.00
With the nearest neighbours (Å) after each atom.
Space group R3m (No. 160, hexagonal axes)
Asymmetric unit:
1 Pr 0.0000 0.0000 0.0000 [3 per cell]  6 Ho 3.66-3.69, 6 Pr 4.06
2 Ho 0.0000 0.0000 0.2363 [3 per cell]  3 Bi 3.07
3 Ho 0.0000 0.0000 0.4317 [3 per cell]  3 Bi 3.09
4 Bi 0.0000 0.0000 0.8343 [3 per cell]  6 Ho 3.07-3.09

## Properties
Energy of formation from the pure elements   -0.17 eV per atom
Volume   34.416 Å³/atom
DOS at the Fermi energy   5.04 states/eV/f.u.

VASP calculation (PBE) on a relaxed structure of AcCdCuNi.

Unit cell a=7.0201 b=7.0201 c=7.0201 alpha=90.00 beta=90.00 gamma=90.00
With the nearest neighbours (Å) after each atom.
Space group F-43m (No. 216)
Asymmetric unit:
1 Ac 0.0000 0.0000 0.0000 [4 per cell]  4 Ni 3.04, 4 Cu 3.04
2 Cd 0.0000 0.0000 0.5000 [4 per cell]  4 Ni 3.04, 4 Cu 3.04
3 Cu 0.2500 0.2500 0.2500 [4 per cell]  4 Cd 3.04, 4 Ac 3.04
4 Ni 0.2500 0.2500 0.7500 [4 per cell]  4 Ac 3.04, 4 Cd 3.04

## Properties
Energy of formation from the pure elements   -0.04 eV per atom
Volume   21.623 Å³/atom
DOS at the Fermi energy   2.64 states/eV/f.u.

VASP calculation (PBE) on a relaxed structure of KBe2Co2.

Unit cell a=3.8387 b=3.8387 c=11.9757 alpha=90.00 beta=90.00 gamma=90.00
With the nearest neighbours (Å) after each atom.
Space group I4/mmm (No. 139)
Asymmetric unit:
1 K 0.0000 0.0000 0.0000 [2 per cell]  10 Be 3.49-3.80, 8 Co 3.56, 4 K 3.84
2 Be 0.0000 0.0000 0.3173 [4 per cell]  4 Co 2.08
3 Co 0.0000 0.5000 0.2500 [4 per cell]  4 Be 2.08

## Properties
Energy of formation from the pure elements   0.47 eV per atom
Volume   17.647 Å³/atom
DOS at the Fermi energy   3.59 states/eV/f.u.

VASP calculation (PBE) on a relaxed structure of NaHfMnPd2.

Unit cell a=4.5340 b=4.5340 c=4.9476 alpha=90.00 beta=90.00 gamma=90.00
With the nearest neighbours (Å) after each atom.
Space group P4/mmm (No. 123)
Asymmetric unit:
1 Na 0.0000 0.0000 0.0000 [1 per cell]  4 Pd 2.27, 2 Hf 2.47
2 Hf 0.0000 0.0000 0.5000 [1 per cell]  2 Na 2.47
3 Mn 0.5000 0.5000 0.5000 [1 per cell]  4 Hf 3.21, 8 Pd 3.36
4 Pd 0.0000 0.5000 0.0000 [2 per cell]  2 Na 2.27

## Properties
Energy of formation from the pure elements   1.27 eV per atom
Volume   20.341 Å³/atom
DOS at the Fermi energy   5.60 states/eV/f.u.

VASP calculation (PBE) on a relaxed structure of HgHF.

Unit cell a=3.0854 b=3.1009 c=6.6904 alpha=89.26 beta=88.67 gamma=72.07
With the nearest neighbours (Å) after each atom.
Space group P1 (No. 1)
Asymmetric unit:
1 Hg 0.0000 0.0000 0.0000 [1 per cell]  4 Hg 3.09-3.10
2 H 0.6582 0.6378 0.4993 [1 per cell]  1 F 0.95
3 F 0.4631 0.4535 0.5001 [1 per cell]  1 H 0.95

## Properties
DFT total energy   -2.789 eV per atom
Volume   20.295 Å³/atom
DOS at the Fermi energy   0.20 states/eV/f.u.